DyScBe2Si2 GGA-PBE optimized geometry; volume = 97.4 Å³/cell; SG = P-3m1, No. 164; raw formation energy = -0.632 eV per atom
1.0
-2.174 2.351 2.074
2.820 -1.957 1.665
4.887 5.804 -1.456
Dy Sc Be Si
1 1 2 2
Direct
0.000 0.000 0.000
0.000 0.000 0.500
0.333 0.667 0.735
0.667 0.333 0.265
0.333 0.667 0.264
0.667 0.333 0.736



TlMoP2 GGA-PBE optimized geometry; volume = 82.6 Å³/cell; SG = Imm2, No. 44; ΔE to the lowest computed polymorph = 71.6 meV/atom
1.0
-0.982 -8.150 1.094
1.683 -6.733 4.519
-2.314 7.770 -1.690
Tl Mo P
1 1 2
Direct
0.561 0.561 0.000
0.796 0.296 0.500
0.911 0.911 0.000
0.232 0.732 0.500